First-principles (GGA-PBE) data for a geometry-optimized Th4Pd12Pt structure, as listed in the Alexandria database.

Total magnetization = 0.0 μB/f.u.
D(E_F) = 8.100 states/eV/f.u.
Energy = -6.561 eV/atom
Energy of formation = -0.7947 eV per atom
Space-group type = Im-3m (229)

```
Th4Pd12Pt
1.0
-7.207 0.328 -2.071
3.335 -5.769 -3.453
0.427 -0.948 7.433
Th Pt Pd
4 1 12
Cartesian
1.668 -2.885 -1.727
-3.603 0.164 -1.035
0.213 -0.474 3.717
-1.723 -3.195 0.955
0.000 0.000 0.000
-0.995 -4.400 -1.767
-4.358 -1.670 1.300
2.627 -4.691 2.779
0.913 -4.719 0.609
-4.735 -0.433 3.745
0.186 -3.514 3.331
-2.450 -1.989 3.676
-2.046 -0.187 1.618
1.135 -2.027 1.201
-2.703 -3.800 -3.858
-1.168 -1.642 -1.667
-3.631 -2.876 -1.422
```

=====

First-principles (GGA-PBE) data for a geometry-optimized HfPaAlRe structure, as listed in the Alexandria database.

Total magnetization = 0.0 μB/f.u.
D(E_F) = 3.431 states/eV/f.u.
Energy = -9.018 eV/atom
Energy of formation = -0.1080 eV per atom
Space-group type = F-43m (216)

```
HfPaAlRe
1.0
4.742 0.000 0.000
2.371 4.107 0.000
2.371 1.369 3.872
Al Pa Re Hf
1 1 1 1
Cartesian
7.114 4.107 2.904
2.371 1.369 0.968
0.000 0.000 0.000
4.742 2.738 1.936
```

=====

First-principles (GGA-PBE) data for a geometry-optimized BeTc2Se structure, as listed in the Alexandria database.

ΔE to the lowest computed polymorph = 0.3276 eV per atom
Total magnetization = 0.0 μB/f.u.
D(E_F) = 3.675 states/eV/f.u.
Energy relative to the elements, uncorrected = 0.295 eV per atom
Energy = -6.691 eV/atom
Space-group type = Immm (71)

```
BeTc2Se
1.0
4.724 0.011 -0.016
1.531 4.470 0.016
-2.593 -2.987 2.584
Tc Be Se
2 1 1
Cartesian
5.983 4.285 0.000
3.401 2.436 0.000
2.630 -0.367 1.284
1.033 1.862 1.300
```

=====

First-principles (GGA-PBE) data for a geometry-optimized PrInSb structure, as listed in the Alexandria database.

Total magnetization = 0.0 μB/f.u.
D(E_F) = 3.020 states/eV/f.u.
Energy relative to the elements, uncorrected = -0.419 eV per atom
Energy = -4.299 eV/atom
Space-group type = Cmc2_1 (36)

```
PrInSb
1.0
-4.246 0.419 -0.623
2.190 -3.092 -2.057
-2.093 -7.578 9.161
Sb In Pr
2 2 2
Cartesian
-2.401 -6.285 4.647
-1.343 -2.502 0.064
-4.258 -4.082 3.875
1.084 -2.637 -1.663
-4.889 -6.359 6.628
0.457 -4.916 1.090
```